Record 1
Density functional theory data (PBE) for Cs3Na2CeCl9 after structural relaxation.

Geometry as CIF:
```
data_Cs3Na2CeCl9
_chemical_formula_sum 'Cs3 Na2 Ce1 Cl9'
_symmetry_space_group_name_H-M 'P -3 m 1'
_symmetry_Int_Tables_number 164
_symmetry_space_group_name_Hall '-P 3 2"'
_cell_length_a 7.8037
_cell_length_b 7.8037
_cell_length_c 9.7112
_cell_angle_alpha 90.00
_cell_angle_beta 90.00
_cell_angle_gamma 120.00
loop_
_atom_site_label
_atom_site_type_symbol
_atom_site_fract_x
_atom_site_fract_y
_atom_site_fract_z
Cs1 Cs 0.0000 0.0000 0.0000
Cs2 Cs 0.3333 0.6667 0.7287
Na1 Na 0.3333 0.6667 0.1467
Ce1 Ce 0.0000 0.0000 0.5000
Cl1 Cl 0.0000 0.5000 0.0000
Cl2 Cl 0.1593 0.3186 0.3440
```

---

Record 2
Density functional theory data (PBE) for Cs2NaCeCl6 after structural relaxation.

Geometry as CIF:
```
data_Cs2NaCeCl6
_chemical_formula_sum 'Cs8 Na4 Ce4 Cl24'
_symmetry_space_group_name_H-M 'F m -3 m'
_symmetry_Int_Tables_number 225
_symmetry_space_group_name_Hall '-F 4 2 3'
_cell_length_a 11.097
_cell_length_b 11.097
_cell_length_c 11.097
_cell_angle_alpha 90.00
_cell_angle_beta 90.00
_cell_angle_gamma 90.00
loop_
_atom_site_label
_atom_site_type_symbol
_atom_site_fract_x
_atom_site_fract_y
_atom_site_fract_z
Cs1 Cs 0.250 0.250 0.250
Na1 Na 0.000 0.000 0.000
Ce1 Ce 0.000 0.000 0.500
Cl1 Cl 0.000 0.000 0.252
```

---

Record 3
Density functional theory data (PBE) for Cs2CeCl2O2 after structural relaxation.

Geometry as CIF:
```
data_Cs2CeCl2O2
_chemical_formula_sum 'Cs4 Ce2 Cl4 O4'
_symmetry_space_group_name_H-M 'I 4/m m m'
_symmetry_Int_Tables_number 139
_symmetry_space_group_name_Hall '-I 4 2'
_cell_length_a 4.566
_cell_length_b 4.566
_cell_length_c 18.099
_cell_angle_alpha 90.00
_cell_angle_beta 90.00
_cell_angle_gamma 90.00
loop_
_atom_site_label
_atom_site_type_symbol
_atom_site_fract_x
_atom_site_fract_y
_atom_site_fract_z
Cs1 Cs 0.000 0.000 0.134
Ce1 Ce 0.000 0.000 0.500
Cl1 Cl 0.000 0.000 0.340
O1 O 0.000 0.500 0.000
```

---

Record 4
Density functional theory data (PBE) for Cs2RbCeCl6 after structural relaxation.

Geometry as CIF:
```
data_Cs2RbCeCl6
_chemical_formula_sum 'Cs8 Rb4 Ce4 Cl24'
_symmetry_space_group_name_H-M 'F m -3 m'
_symmetry_Int_Tables_number 225
_symmetry_space_group_name_Hall '-F 4 2 3'
_cell_length_a 11.793
_cell_length_b 11.793
_cell_length_c 11.793
_cell_angle_alpha 90.00
_cell_angle_beta 90.00
_cell_angle_gamma 90.00
loop_
_atom_site_label
_atom_site_type_symbol
_atom_site_fract_x
_atom_site_fract_y
_atom_site_fract_z
Cs1 Cs 0.250 0.250 0.250
Rb1 Rb 0.000 0.000 0.000
Ce1 Ce 0.000 0.000 0.500
Cl1 Cl 0.000 0.000 0.267
```

---

Record 5
Density functional theory data (PBE) for CsRbCeCl6 after structural relaxation.

Geometry as CIF:
```
data_CsRbCeCl6
_chemical_formula_sum 'Cs2 Rb2 Ce2 Cl12'
_symmetry_space_group_name_H-M 'P -3 1 c'
_symmetry_Int_Tables_number 163
_symmetry_space_group_name_Hall '-P 3 2c'
_cell_length_a 8.0856
_cell_length_b 8.0856
_cell_length_c 13.4887
_cell_angle_alpha 90.00
_cell_angle_beta 90.00
_cell_angle_gamma 120.00
loop_
_atom_site_label
_atom_site_type_symbol
_atom_site_fract_x
_atom_site_fract_y
_atom_site_fract_z
Cs1 Cs 0.0000 0.0000 0.0000
Rb1 Rb 0.3333 0.6667 0.2500
Ce1 Ce 0.3333 0.6667 0.7500
Cl1 Cl 0.0623 0.3999 0.6385
```

---

Record 6
Density functional theory data (PBE) for CsRb2CeCl8 after structural relaxation.

Geometry as CIF:
```
data_CsRb2CeCl8
_chemical_formula_sum 'Cs1 Rb2 Ce1 Cl8'
_symmetry_space_group_name_H-M 'P -1'
_symmetry_Int_Tables_number 2
_symmetry_space_group_name_Hall '-P 1'
_cell_length_a 5.975
_cell_length_b 7.708
_cell_length_c 10.275
_cell_angle_alpha 90.11
_cell_angle_beta 90.42
_cell_angle_gamma 90.41
loop_
_atom_site_label
_atom_site_type_symbol
_atom_site_fract_x
_atom_site_fract_y
_atom_site_fract_z
Cs1 Cs 0.000 0.000 0.000
Rb1 Rb 0.495 0.501 0.722
Ce1 Ce 0.000 0.000 0.500
Cl1 Cl 0.211 0.700 0.497
Cl2 Cl 0.231 0.505 0.000
Cl3 Cl 0.244 0.127 0.308
Cl4 Cl 0.249 0.121 0.694
```

---

Record 7
Density functional theory data (PBE) for Cs2CeS2Cl2 after structural relaxation.

Geometry as CIF:
```
data_Cs2CeS2Cl2
_chemical_formula_sum 'Cs4 Ce2 S4 Cl4'
_symmetry_space_group_name_H-M 'I 4/m m m'
_symmetry_Int_Tables_number 139
_symmetry_space_group_name_Hall '-I 4 2'
_cell_length_a 5.364
_cell_length_b 5.364
_cell_length_c 17.713
_cell_angle_alpha 90.00
_cell_angle_beta 90.00
_cell_angle_gamma 90.00
loop_
_atom_site_label
_atom_site_type_symbol
_atom_site_fract_x
_atom_site_fract_y
_atom_site_fract_z
Cs1 Cs 0.000 0.000 0.141
Ce1 Ce 0.000 0.000 0.500
S1 S 0.000 0.500 0.000
Cl1 Cl 0.000 0.000 0.343
```

---

Record 8
Density functional theory data (PBE) for CsCeSc2Cl8 after structural relaxation.

Geometry as CIF:
```
data_CsCeSc2Cl8
_chemical_formula_sum 'Cs3 Ce3 Sc6 Cl24'
_symmetry_space_group_name_H-M 'R -3'
_symmetry_Int_Tables_number 148
_symmetry_space_group_name_Hall '-R 3'
_cell_length_a 6.8645
_cell_length_b 6.8645
_cell_length_c 29.1882
_cell_angle_alpha 90.00
_cell_angle_beta 90.00
_cell_angle_gamma 120.00
loop_
_atom_site_label
_atom_site_type_symbol
_atom_site_fract_x
_atom_site_fract_y
_atom_site_fract_z
Cs1 Cs 0.0000 0.0000 0.0000
Ce1 Ce 0.0000 0.0000 0.5000
Sc1 Sc 0.0000 0.0000 0.2402
Cl1 Cl 0.0000 0.0000 0.3215
Cl2 Cl 0.0054 0.3118 0.1118
```

---

Record 9
Density functional theory data (PBE) for Cs2CeSe2Cl2 after structural relaxation.

Geometry as CIF:
```
data_Cs2CeSe2Cl2
_chemical_formula_sum 'Cs4 Ce2 Se4 Cl4'
_symmetry_space_group_name_H-M 'I 4/m m m'
_symmetry_Int_Tables_number 139
_symmetry_space_group_name_Hall '-I 4 2'
_cell_length_a 5.618
_cell_length_b 5.618
_cell_length_c 17.607
_cell_angle_alpha 90.00
_cell_angle_beta 90.00
_cell_angle_gamma 90.00
loop_
_atom_site_label
_atom_site_type_symbol
_atom_site_fract_x
_atom_site_fract_y
_atom_site_fract_z
Cs1 Cs 0.000 0.000 0.142
Ce1 Ce 0.000 0.000 0.500
Se1 Se 0.000 0.500 0.000
Cl1 Cl 0.000 0.000 0.343
```

---

Record 10
Density functional theory data (PBE) for CsCeSeCl2 after structural relaxation.

Geometry as CIF:
```
data_CsCeSeCl2
_chemical_formula_sum 'Cs4 Ce4 Se4 Cl8'
_symmetry_space_group_name_H-M 'C m c m'
_symmetry_Int_Tables_number 63
_symmetry_space_group_name_Hall '-C 2c 2'
_cell_length_a 4.308
_cell_length_b 19.269
_cell_length_c 8.500
_cell_angle_alpha 90.00
_cell_angle_beta 90.00
_cell_angle_gamma 90.00
loop_
_atom_site_label
_atom_site_type_symbol
_atom_site_fract_x
_atom_site_fract_y
_atom_site_fract_z
Cs1 Cs 0.000 0.210 0.250
Ce1 Ce 0.000 0.500 0.000
Se1 Se 0.000 0.007 0.250
Cl1 Cl 0.000 0.359 0.017
```

---

Record 11
Density functional theory data (PBE) for Cs2CeSnCl6 after structural relaxation.

Geometry as CIF:
```
data_Cs2CeSnCl6
_chemical_formula_sum 'Cs4 Ce2 Sn2 Cl12'
_symmetry_space_group_name_H-M 'P m m n'
_symmetry_Int_Tables_number 59
_cell_length_a 7.815
_cell_length_b 12.607
_cell_length_c 8.125
_cell_angle_alpha 90.00
_cell_angle_beta 90.00
_cell_angle_gamma 90.00
loop_
_symmetry_equiv_pos_as_xyz
'x,y,z'
'-x,-y,-z'
'-x+1/2,-y+1/2,z'
'x+1/2,y+1/2,-z'
'x+1/2,-y,-z'
'-x+1/2,y,z'
'-x,y+1/2,-z'
'x,-y+1/2,z'
loop_
_atom_site_label
_atom_site_type_symbol
_atom_site_fract_x
_atom_site_fract_y
_atom_site_fract_z
Cs1 Cs 0.250 0.011 0.242
Ce1 Ce 0.250 0.750 0.826
Sn1 Sn 0.250 0.250 0.677
Cl1 Cl 0.012 0.250 0.404
Cl2 Cl 0.014 0.750 0.083
Cl3 Cl 0.250 0.533 0.818
```

---

Record 12
Density functional theory data (PBE) for Cs2CeTlCl8 after structural relaxation.

Geometry as CIF:
```
data_Cs2CeTlCl8
_chemical_formula_sum 'Cs2 Ce1 Tl1 Cl8'
_symmetry_space_group_name_H-M 'P -1'
_symmetry_Int_Tables_number 2
_symmetry_space_group_name_Hall '-P 1'
_cell_length_a 6.982
_cell_length_b 7.554
_cell_length_c 9.234
_cell_angle_alpha 89.40
_cell_angle_beta 89.27
_cell_angle_gamma 87.86
loop_
_atom_site_label
_atom_site_type_symbol
_atom_site_fract_x
_atom_site_fract_y
_atom_site_fract_z
Cs1 Cs 0.001 0.499 0.248
Ce1 Ce 0.500 0.000 0.000
Tl1 Tl 0.500 0.000 0.500
Cl1 Cl 0.278 0.889 0.217
Cl2 Cl 0.279 0.887 0.789
Cl3 Cl 0.304 0.307 0.500
Cl4 Cl 0.313 0.308 0.998
```

---

Record 13
Density functional theory data (PBE) for CsCeTlCl6 after structural relaxation.

Geometry as CIF:
```
data_CsCeTlCl6
_chemical_formula_sum 'Cs2 Ce2 Tl2 Cl12'
_symmetry_space_group_name_H-M 'P -3 1 c'
_symmetry_Int_Tables_number 163
_symmetry_space_group_name_Hall '-P 3 2c'
_cell_length_a 7.9071
_cell_length_b 7.9071
_cell_length_c 13.8598
_cell_angle_alpha 90.00
_cell_angle_beta 90.00
_cell_angle_gamma 120.00
loop_
_atom_site_label
_atom_site_type_symbol
_atom_site_fract_x
_atom_site_fract_y
_atom_site_fract_z
Cs1 Cs 0.0000 0.0000 0.0000
Ce1 Ce 0.3333 0.6667 0.2500
Tl1 Tl 0.3333 0.6667 0.7500
Cl1 Cl 0.0528 0.3982 0.1410
```

---

Record 14
Density functional theory data (PBE) for CsCeTl2Cl8 after structural relaxation.

Geometry as CIF:
```
data_CsCeTl2Cl8
_chemical_formula_sum 'Cs1 Ce1 Tl2 Cl8'
_symmetry_space_group_name_H-M 'P -1'
_symmetry_Int_Tables_number 2
_symmetry_space_group_name_Hall '-P 1'
_cell_length_a 6.793
_cell_length_b 6.978
_cell_length_c 9.554
_cell_angle_alpha 89.83
_cell_angle_beta 89.69
_cell_angle_gamma 89.31
loop_
_atom_site_label
_atom_site_type_symbol
_atom_site_fract_x
_atom_site_fract_y
_atom_site_fract_z
Cs1 Cs 0.000 0.000 0.000
Ce1 Ce 0.000 0.000 0.500
Tl1 Tl 0.499 0.499 0.241
Cl1 Cl 0.227 0.846 0.696
Cl2 Cl 0.229 0.848 0.303
Cl3 Cl 0.232 0.303 0.500
Cl4 Cl 0.275 0.399 0.000
```

---

Record 15
Density functional theory data (PBE) for CsCeZnCl6 after structural relaxation.

Geometry as CIF:
```
data_CsCeZnCl6
_chemical_formula_sum 'Cs1 Ce1 Zn1 Cl6'
_symmetry_space_group_name_H-M 'P 3 1 2'
_symmetry_Int_Tables_number 149
_symmetry_space_group_name_Hall 'P 3 2'
_cell_length_a 6.9422
_cell_length_b 6.9422
_cell_length_c 7.7033
_cell_angle_alpha 90.00
_cell_angle_beta 90.00
_cell_angle_gamma 120.00
loop_
_atom_site_label
_atom_site_type_symbol
_atom_site_fract_x
_atom_site_fract_y
_atom_site_fract_z
Cs1 Cs 0.0000 0.0000 0.0000
Ce1 Ce 0.6667 0.3333 0.5000
Zn1 Zn 0.3333 0.6667 0.5000
Cl1 Cl 0.0284 0.3905 0.3065
```

---

Record 16
Density functional theory data (PBE) for CeCu3Cl8 after structural relaxation.

Geometry as CIF:
```
data_CeCu3Cl8
_chemical_formula_sum 'Ce2 Cu6 Cl16'
_symmetry_space_group_name_H-M 'C 1 2/m 1'
_symmetry_Int_Tables_number 12
_symmetry_space_group_name_Hall '-C 2y'
_cell_length_a 13.993
_cell_length_b 7.064
_cell_length_c 7.456
_cell_angle_alpha 90.00
_cell_angle_beta 120.84
_cell_angle_gamma 90.00
loop_
_atom_site_label
_atom_site_type_symbol
_atom_site_fract_x
_atom_site_fract_y
_atom_site_fract_z
Ce1 Ce 0.000 0.000 0.000
Cu1 Cu 0.000 0.500 0.000
Cu2 Cu 0.250 0.250 0.500
Cl1 Cl 0.007 0.272 0.766
Cl2 Cl 0.227 0.000 0.239
Cl3 Cl 0.243 0.500 0.300
```

---

Record 17
Density functional theory data (PBE) for CeCuCl after structural relaxation.

Geometry as CIF:
```
data_CeCuCl
_chemical_formula_sum 'Ce2 Cu2 Cl2'
_symmetry_space_group_name_H-M 'P -6 m 2'
_symmetry_Int_Tables_number 187
_symmetry_space_group_name_Hall 'P -6 2'
_cell_length_a 3.6559
_cell_length_b 3.6559
_cell_length_c 12.5984
_cell_angle_alpha 90.00
_cell_angle_beta 90.00
_cell_angle_gamma 120.00
loop_
_atom_site_label
_atom_site_type_symbol
_atom_site_fract_x
_atom_site_fract_y
_atom_site_fract_z
Ce1 Ce 0.0000 0.0000 0.1610
Cu1 Cu 0.6667 0.3333 0.0000
Cu2 Cu 0.6667 0.3333 0.5000
Cl1 Cl 0.6667 0.3333 0.3261
```

---

Record 18
Density functional theory data (PBE) for CeCuCl2 after structural relaxation.

Geometry as CIF:
```
data_CeCuCl2
_chemical_formula_sum 'Ce3 Cu3 Cl6'
_symmetry_space_group_name_H-M 'R -3 m'
_symmetry_Int_Tables_number 166
_symmetry_space_group_name_Hall '-R 3 2"'
_cell_length_a 3.6896
_cell_length_b 3.6896
_cell_length_c 24.7801
_cell_angle_alpha 90.00
_cell_angle_beta 90.00
_cell_angle_gamma 120.00
loop_
_atom_site_label
_atom_site_type_symbol
_atom_site_fract_x
_atom_site_fract_y
_atom_site_fract_z
Ce1 Ce 0.0000 0.0000 0.0000
Cu1 Cu 0.0000 0.0000 0.5000
Cl1 Cl 0.0000 0.0000 0.1112
```

---

Record 19
# PBE Ce2CuCl8, relaxed
data_Ce2CuCl8
_chemical_formula_sum 'Ce4 Cu2 Cl16'
_symmetry_space_group_name_H-M 'C 1 2/m 1'
_symmetry_Int_Tables_number 12
_symmetry_space_group_name_Hall '-C 2y'
_cell_length_a 19.776
_cell_length_b 3.872
_cell_length_c 7.984
_cell_angle_alpha 90.00
_cell_angle_beta 96.27
_cell_angle_gamma 90.00
loop_
_atom_site_label
_atom_site_type_symbol
_atom_site_fract_x
_atom_site_fract_y
_atom_site_fract_z
Ce1 Ce 0.156 0.000 0.309
Cu1 Cu 0.000 0.500 0.000
Cl1 Cl 0.013 0.000 0.197
Cl2 Cl 0.102 0.500 0.495
Cl3 Cl 0.139 0.500 0.050
Cl4 Cl 0.236 0.000 0.664
# ΔE to the lowest computed polymorph (eV/atom): 0.038

---

Record 20
# PBE Ce2CuCl8, relaxed
data_Ce2CuCl8
_chemical_formula_sum 'Ce4 Cu2 Cl16'
_symmetry_space_group_name_H-M 'C 1 2/m 1'
_symmetry_Int_Tables_number 12
_symmetry_space_group_name_Hall '-C 2y'
_cell_length_a 11.344
_cell_length_b 8.498
_cell_length_c 6.936
_cell_angle_alpha 90.00
_cell_angle_beta 104.44
_cell_angle_gamma 90.00
loop_
_atom_site_label
_atom_site_type_symbol
_atom_site_fract_x
_atom_site_fract_y
_atom_site_fract_z
Ce1 Ce 0.187 0.000 0.453
Cu1 Cu 0.000 0.500 0.500
Cl1 Cl 0.064 0.000 0.747
Cl2 Cl 0.147 0.300 0.293
Cl3 Cl 0.148 0.500 0.768
# ΔE to the lowest computed polymorph (eV/atom): 0.000

---

Record 21
# PBE K2CeCuCl6, relaxed
data_K2CeCuCl6
_chemical_formula_sum 'K4 Ce2 Cu2 Cl12'
_symmetry_space_group_name_H-M 'P 1 21/c 1'
_symmetry_Int_Tables_number 14
_symmetry_space_group_name_Hall '-P 2ybc'
_cell_length_a 7.715
_cell_length_b 8.335
_cell_length_c 12.149
_cell_angle_alpha 90.00
_cell_angle_beta 128.66
_cell_angle_gamma 90.00
loop_
_atom_site_label
_atom_site_type_symbol
_atom_site_fract_x
_atom_site_fract_y
_atom_site_fract_z
K1 K 0.234 0.081 0.247
Ce1 Ce 0.000 0.000 0.500
Cu1 Cu 0.500 0.000 0.000
Cl1 Cl 0.115 0.213 0.951
Cl2 Cl 0.249 0.664 0.949
Cl3 Cl 0.382 0.035 0.786
# ΔE to the lowest computed polymorph (eV/atom): 0.000

---

Calculated raw formation energy (kJ/mol of atoms), listed in the same order as above: -189, -201, -228, -202, -196, -172, -178, -183, -172, -189, -166, -159, -175, -142, -173, -102, -50, -60, -169, -173, -168